Record 1
An optimized crystal structure of TlCo2Cl4. Source: the Alexandria database, functional PBE.

Cell lengths 6.373, 6.373, 8.208 Å; angles 130.09, 130.09, 48.70 degrees
Element x y z (fractional)
1 Tl 0.000 0.000 0.000
2 Co 0.250 0.750 0.500
3 Co 0.750 0.250 0.500
4 Cl 0.193 0.193 0.812
5 Cl 0.381 0.381 0.574
6 Cl 0.619 0.619 0.426
7 Cl 0.807 0.807 0.188

## Properties
Formation energy from raw total energies (eV/atom): -0.559

***

Record 2
An optimized crystal structure of Tl6Co3Cl14. Source: the Alexandria database, functional PBE.

Cell lengths 11.284, 11.284, 6.577 Å; angles 90.00, 90.00, 120.00 degrees
Element x y z (fractional)
1 Tl 0.030 0.569 0.000
2 Tl 0.301 0.094 0.476
3 Tl 0.431 0.462 0.000
4 Tl 0.538 0.970 0.000
5 Tl 0.793 0.699 0.476
6 Tl 0.906 0.207 0.476
7 Co 0.000 0.000 0.915
8 Co 0.333 0.667 0.420
9 Co 0.667 0.333 0.253
10 Cl 0.000 0.000 0.252
11 Cl 0.065 0.858 0.795
12 Cl 0.142 0.208 0.795
13 Cl 0.200 0.458 0.295
14 Cl 0.257 0.800 0.295
15 Cl 0.333 0.667 0.755
16 Cl 0.477 0.211 0.056
17 Cl 0.542 0.399 0.448
18 Cl 0.542 0.743 0.295
19 Cl 0.601 0.143 0.448
20 Cl 0.734 0.523 0.056
21 Cl 0.789 0.266 0.056
22 Cl 0.792 0.935 0.795
23 Cl 0.857 0.458 0.448

## Properties
Formation energy from raw total energies (eV/atom): -0.823

***

Record 3
An optimized crystal structure of Tl2CoCl. Source: the Alexandria database, functional PBE.

Cell lengths 7.261, 7.261, 7.261 Å; angles 150.91, 148.73, 43.23 degrees
Element x y z (fractional)
1 Tl 0.000 0.000 0.000
2 Tl 0.309 0.309 0.000
3 Co 0.512 0.512 0.000
4 Cl 0.683 0.683 0.000

## Properties
Formation energy from raw total energies (eV/atom): -0.001

***

Record 4
An optimized crystal structure of Tl2CoCl. Source: the Alexandria database, functional PBE.

Cell lengths 3.605, 3.860, 7.564 Å; angles 90.00, 90.00, 90.00 degrees
Element x y z (fractional)
1 Tl 0.000 0.000 0.000
2 Tl 0.500 0.500 0.386
3 Co 0.500 0.500 0.035
4 Cl 0.000 0.000 0.588

## Properties
Formation energy from raw total energies (eV/atom): 0.066

***

Record 5
An optimized crystal structure of Tl2CoCl. Source: the Alexandria database, functional PBE.

Cell lengths 5.184, 5.184, 5.184 Å; angles 60.00, 60.00, 60.00 degrees
Element x y z (fractional)
1 Tl 0.000 0.000 0.000
2 Tl 0.250 0.250 0.250
3 Co 0.500 0.500 0.500
4 Cl 0.750 0.750 0.750

## Properties
Formation energy from raw total energies (eV/atom): 0.477

***

Record 6
An optimized crystal structure of Tl2CoCl2. Source: the Alexandria database, functional PBE.

Cell lengths 5.894, 5.894, 5.894 Å; angles 113.92, 113.92, 100.90 degrees
Element x y z (fractional)
1 Tl 0.250 0.750 0.500
2 Tl 0.750 0.250 0.500
3 Co 0.000 0.000 0.000
4 Cl 0.283 0.283 0.000
5 Cl 0.717 0.717 0.000

## Properties
Formation energy from raw total energies (eV/atom): -0.220

***

Record 7
An optimized crystal structure of Tl4CoCl6. Source: the Alexandria database, functional PBE.

Cell lengths 9.014, 9.014, 13.982 Å; angles 114.64, 114.64, 55.12 degrees
Element x y z (fractional)
1 Tl 0.069 0.931 0.500
2 Tl 0.329 0.556 0.186
3 Tl 0.389 0.961 0.828
4 Tl 0.556 0.329 0.686
5 Tl 0.638 0.924 0.175
6 Tl 0.924 0.638 0.675
7 Tl 0.931 0.069 0.000
8 Tl 0.961 0.389 0.328
9 Co 0.451 0.980 0.413
10 Co 0.980 0.451 0.913
11 Cl 0.022 0.661 0.285
12 Cl 0.098 0.635 0.943
13 Cl 0.187 0.249 0.021
14 Cl 0.201 0.719 0.664
15 Cl 0.249 0.187 0.521
16 Cl 0.288 0.969 0.237
17 Cl 0.603 0.692 0.440
18 Cl 0.635 0.098 0.443
19 Cl 0.661 0.022 0.785
20 Cl 0.692 0.603 0.940
21 Cl 0.719 0.201 0.164
22 Cl 0.969 0.288 0.737

## Properties
Formation energy from raw total energies (eV/atom): -0.886

***

Record 8
An optimized crystal structure of Tl2CoCl. Source: the Alexandria database, functional PBE.

Cell lengths 6.204, 6.204, 6.204 Å; angles 150.08, 126.82, 62.22 degrees
Element x y z (fractional)
1 Tl 0.000 0.000 0.000
2 Tl 0.702 0.202 0.500
3 Co 0.483 0.483 0.000
4 Cl 0.326 0.826 0.500

## Properties
Formation energy from raw total energies (eV/atom): 0.090

***

Record 9
An optimized crystal structure of Tl3CoCl5. Source: the Alexandria database, functional PBE.

Cell lengths 9.450, 9.450, 9.450 Å; angles 126.07, 126.07, 79.77 degrees
Element x y z (fractional)
1 Tl 0.165 0.665 0.829
2 Tl 0.250 0.250 0.000
3 Tl 0.335 0.165 0.500
4 Tl 0.665 0.835 0.500
5 Tl 0.750 0.750 0.000
6 Tl 0.835 0.335 0.171
7 Co 0.250 0.750 0.500
8 Co 0.750 0.250 0.500
9 Cl 0.000 0.000 0.000
10 Cl 0.008 0.803 0.500
11 Cl 0.197 0.697 0.205
12 Cl 0.303 0.508 0.500
13 Cl 0.492 0.992 0.795
14 Cl 0.500 0.500 0.000
15 Cl 0.508 0.008 0.205
16 Cl 0.697 0.492 0.500
17 Cl 0.803 0.303 0.795
18 Cl 0.992 0.197 0.500

## Properties
Formation energy from raw total energies (eV/atom): -0.874

***

Record 10
An optimized crystal structure of Tl2CoCl. Source: the Alexandria database, functional PBE.

Cell lengths 3.662, 3.662, 8.130 Å; angles 102.91, 102.91, 59.85 degrees
Element x y z (fractional)
1 Tl 0.237 0.237 0.211
2 Tl 0.763 0.763 0.789
3 Co 0.500 0.500 0.000
4 Cl 0.000 0.000 0.500

## Properties
Formation energy from raw total energies (eV/atom): 0.149

***

Record 11
An optimized crystal structure of Tl3CoCl. Source: the Alexandria database, functional PBE.

Cell lengths 5.113, 5.113, 5.113 Å; angles 90.00, 90.00, 90.00 degrees
Element x y z (fractional)
1 Tl 0.000 0.000 0.500
2 Tl 0.000 0.500 0.000
3 Tl 0.500 0.000 0.000
4 Co 0.000 0.000 0.000
5 Cl 0.500 0.500 0.500

## Properties
Formation energy from raw total energies (eV/atom): -0.184

***

Record 12
An optimized crystal structure of Tl2CoCl. Source: the Alexandria database, functional PBE.

Cell lengths 5.258, 5.258, 5.258 Å; angles 60.00, 60.00, 60.00 degrees
Element x y z (fractional)
1 Tl 0.250 0.250 0.250
2 Tl 0.750 0.750 0.750
3 Co 0.000 0.000 0.000
4 Cl 0.500 0.500 0.500

## Properties
Formation energy from raw total energies (eV/atom): 0.328

***

Record 13
An optimized crystal structure of Tl2CoCl2. Source: the Alexandria database, functional PBE.

Cell lengths 6.456, 6.456, 6.017 Å; angles 90.00, 90.00, 90.00 degrees
Element x y z (fractional)
1 Tl 0.192 0.308 0.000
2 Tl 0.308 0.808 0.000
3 Tl 0.692 0.192 0.000
4 Tl 0.808 0.692 0.000
5 Co 0.000 0.000 0.500
6 Co 0.500 0.500 0.500
7 Cl 0.191 0.691 0.500
8 Cl 0.309 0.191 0.500
9 Cl 0.691 0.809 0.500
10 Cl 0.809 0.309 0.500

## Properties
Formation energy from raw total energies (eV/atom): -0.232

***

Record 14
An optimized crystal structure of Tl2CoCl. Source: the Alexandria database, functional PBE.

Cell lengths 9.777, 9.777, 9.777 Å; angles 20.21, 20.21, 20.21 degrees
Element x y z (fractional)
1 Tl 0.000 0.000 0.000
2 Tl 0.236 0.236 0.236
3 Co 0.497 0.497 0.497
4 Cl 0.789 0.789 0.789

## Properties
Formation energy from raw total energies (eV/atom): 0.008

***

Record 15
An optimized crystal structure of Tl2CoCl. Source: the Alexandria database, functional PBE.

Cell lengths 6.797, 6.797, 6.797 Å; angles 144.45, 144.45, 51.15 degrees
Element x y z (fractional)
1 Tl 0.000 0.000 0.000
2 Tl 0.750 0.250 0.500
3 Co 0.500 0.500 0.000
4 Cl 0.250 0.750 0.500

## Properties
Formation energy from raw total energies (eV/atom): 0.270

***

Record 16
An optimized crystal structure of Tl2CoCl. Source: the Alexandria database, functional PBE.

Cell lengths 3.405, 3.405, 9.690 Å; angles 90.00, 90.00, 118.66 degrees
Element x y z (fractional)
1 Tl 0.000 0.000 0.000
2 Tl 0.500 0.500 0.302
3 Co 0.500 0.500 0.777
4 Cl 0.000 0.000 0.626

## Properties
Formation energy from raw total energies (eV/atom): 0.114

***

Record 17
An optimized crystal structure of Tl3CoCl. Source: the Alexandria database, functional PBE.

Cell lengths 5.802, 5.802, 5.802 Å; angles 90.00, 90.00, 90.00 degrees
Element x y z (fractional)
1 Tl 0.000 0.000 0.500
2 Tl 0.000 0.500 0.000
3 Tl 0.500 0.000 0.000
4 Co 0.500 0.500 0.500
5 Cl 0.000 0.000 0.000

## Properties
Formation energy from raw total energies (eV/atom): 0.637

***

Record 18
An optimized crystal structure of Tl2CoCl5. Source: the Alexandria database, functional PBE.

Cell lengths 6.852, 6.852, 6.852 Å; angles 116.76, 116.76, 95.71 degrees
Element x y z (fractional)
1 Tl 0.000 0.500 0.500
2 Tl 0.500 0.000 0.500
3 Co 0.268 0.268 0.000
4 Cl 0.013 0.013 0.565
5 Cl 0.013 0.448 0.000
6 Cl 0.448 0.013 0.000
7 Cl 0.448 0.448 0.435
8 Cl 0.514 0.514 0.000

## Properties
Formation energy from raw total energies (eV/atom): -0.760

***

Record 19
An optimized crystal structure of Tl2CoCl. Source: the Alexandria database, functional PBE.

Cell lengths 8.191, 8.191, 8.191 Å; angles 157.71, 152.57, 35.63 degrees
Element x y z (fractional)
1 Tl 0.168 0.168 0.000
2 Tl 0.832 0.832 0.000
3 Co 0.000 0.500 0.500
4 Cl 0.500 0.000 0.500

## Properties
Formation energy from raw total energies (eV/atom): 0.194

***

Record 20
An optimized crystal structure of Tl2CoCl. Source: the Alexandria database, functional PBE.

Cell lengths 3.166, 3.166, 9.563 Å; angles 90.00, 90.00, 90.00 degrees
Element x y z (fractional)
1 Tl 0.000 0.000 0.000
2 Tl 0.500 0.500 0.312
3 Co 0.500 0.500 0.771
4 Cl 0.000 0.000 0.657

## Properties
Formation energy from raw total energies (eV/atom): 0.147